A plane-wave DFT calculation with PBE with a Hubbard U was carried out for a geometry-optimized KVF4 structure.

Cell: 5.441 5.509 6.988 Å, 106.06 106.40 89.03°
Site moments in Bohr magnetons follow the coordinates.
Element x y z (fractional)
F1 0.688 0.315 0.504  0.01
F2 0.137 0.547 0.794  0.00
F3 0.545 0.128 0.794  0.00
F4 0.455 0.872 0.206  0.00
F5 0.826 0.826 0.568  0.00
F6 0.174 0.174 0.432  0.00
F7 0.312 0.685 0.496  0.01
F8 0.863 0.453 0.206  0.00
K1 0.319 0.318 0.095  0.00
K2 0.681 0.682 0.905  0.00
V1 0.000 0.500 0.500  1.91
V2 0.500 0.000 0.500  1.91

## Properties
- calculated total energy (eV per formula unit) = -33.52
- V (Å³/atom) = 16.1
- energy relative to the lowest polymorph listed for this composition (meV per atom) = 16.7
- density of states at the Fermi level (states/eV/f.u.) = 0.00
- magnetic moment (μB per formula unit) = 2.00